No. 1
The following is a DFT calculation (meta-GGA SCAN) of CrB2Au at its PBEsol-relaxed geometry.

Cell: 3.8170 3.8170 3.8170 Å, 60.00 60.00 60.00°
Sites, in units of the cell vectors:
Cr 0.0000 0.0000 0.0000
B 0.2500 0.2500 0.2500
B 0.7500 0.7500 0.7500
Au 0.5000 0.5000 0.5000

Calculated values
E_tot	-99.32	eV for the cell shown

No. 2
The following is a DFT calculation (meta-GGA SCAN) of NaCr2BAu at its PBEsol-relaxed geometry.

Cell: 4.0489 5.1537 5.1537 Å, 90.00 90.00 90.00°
Site moments in Bohr magnetons follow the coordinates.
Sites, in units of the cell vectors:
Cr 0.0000 0.0000 0.5000  4.16
Cr 0.0000 0.5000 0.0000  4.16
B 0.5000 0.0000 0.0000  -0.08
Au 0.0000 0.0000 0.0000  0.10
Na 0.5000 0.5000 0.5000  0.02

Calculated values
E_tot	-113.94	eV for the cell shown

No. 3
The following is a DFT calculation (meta-GGA SCAN) of ScCr2BAu at its PBEsol-relaxed geometry.

Cell: 4.5959 4.5959 4.8320 Å, 90.00 90.00 90.00°
Site moments in Bohr magnetons follow the coordinates.
Sites, in units of the cell vectors:
Sc 0.0000 0.0000 0.0000  0.03
Cr 0.0000 0.5000 0.0000  3.63
Cr 0.5000 0.0000 0.0000  3.63
B 0.5000 0.5000 0.5000  -0.06
Au 0.0000 0.0000 0.5000  0.03

Calculated values
E_tot	-117.02	eV for the cell shown

No. 4
The following is a DFT calculation (meta-GGA SCAN) of CuB2Au at its PBEsol-relaxed geometry.

Cell: 3.8779 3.8779 3.8779 Å, 60.00 60.00 60.00°
Sites, in units of the cell vectors:
B 0.2500 0.2500 0.2500
B 0.7500 0.7500 0.7500
Au 0.5000 0.5000 0.5000
Cu 0.0000 0.0000 0.0000

Calculated values
E_tot	-94.90	eV for the cell shown

No. 5
The following is a DFT calculation (meta-GGA SCAN) of Cu3BAu at its PBEsol-relaxed geometry.

Cell: 3.9184 3.9184 3.9184 Å, 90.00 90.00 90.00°
Sites, in units of the cell vectors:
B 0.0000 0.0000 0.0000
Au 0.5000 0.5000 0.5000
Cu 0.0000 0.5000 0.0000
Cu 0.0000 0.0000 0.5000
Cu 0.5000 0.0000 0.0000

Calculated values
E_tot	-121.15	eV for the cell shown

No. 6
The following is a DFT calculation (meta-GGA SCAN) of Cu2GeBAu at its PBEsol-relaxed geometry.

Cell: 4.0977 4.0433 4.0433 Å, 90.00 90.00 90.00°
Sites, in units of the cell vectors:
Ge 0.5000 0.0000 0.0000
B 0.0000 0.0000 0.0000
Au 0.5000 0.5000 0.5000
Cu 0.0000 0.0000 0.5000
Cu 0.0000 0.5000 0.0000

Calculated values
E_tot	-124.04	eV for the cell shown

No. 7
The following is a DFT calculation (meta-GGA SCAN) of Cu2BPtAu at its PBEsol-relaxed geometry.

Cell: 4.5976 4.5976 4.9998 Å, 90.00 90.00 90.00°
Sites, in units of the cell vectors:
B 0.5000 0.5000 0.5000
Au 0.0000 0.0000 0.5000
Cu 0.0000 0.5000 0.0000
Cu 0.5000 0.0000 0.0000
Pt 0.0000 0.0000 0.0000

Calculated values
E_tot	-168.63	eV for the cell shown

No. 8
The following is a DFT calculation (meta-GGA SCAN) of FeB2Au at its PBEsol-relaxed geometry.

Cell: 4.6317 4.6317 5.6720 Å, 114.10 114.10 90.00°
Site moments in Bohr magnetons follow the coordinates.
Sites, in units of the cell vectors:
B 0.8273 0.3750 0.2500  -0.08
B 0.4227 0.8750 0.2500  -0.08
B 0.6250 0.5773 0.7500  -0.08
B 0.1250 0.1727 0.7500  -0.08
Au 0.2500 0.7500 0.5000  0.00
Au 0.0000 0.0000 0.0000  0.00
Fe 0.7500 0.2500 0.5000  0.91
Fe 0.5000 0.5000 0.0000  0.91

Calculated values
E_tot	-198.22	eV for the cell shown

No. 9
The following is a DFT calculation (meta-GGA SCAN) of FeBAu3 at its PBEsol-relaxed geometry.

Cell: 4.7174 4.7174 4.7174 Å, 90.00 90.00 90.00°
Site moments in Bohr magnetons follow the coordinates.
Sites, in units of the cell vectors:
B 0.5000 0.5000 0.5000  0.00
Au 0.0000 0.5000 0.0000  0.11
Au 0.0000 0.0000 0.5000  0.11
Au 0.5000 0.0000 0.0000  0.11
Fe 0.0000 0.0000 0.0000  3.00

Calculated values
E_tot	-225.37	eV for the cell shown

No. 10
The following is a DFT calculation (meta-GGA SCAN) of GaB2Au2 at its PBEsol-relaxed geometry.

Cell: 2.9123 2.9123 7.7814 Å, 100.79 100.79 90.00°
Sites, in units of the cell vectors:
B 0.2500 0.7500 0.5000
B 0.7500 0.2500 0.5000
Au 0.3725 0.3725 0.7450
Au 0.6275 0.6275 0.2550
Ga 0.0000 0.0000 0.0000

Calculated values
E_tot	-166.47	eV for the cell shown

No. 11
The following is a DFT calculation (meta-GGA SCAN) of TlGeBAu2 at its PBEsol-relaxed geometry.

Cell: 4.4434 4.4434 4.5797 Å, 90.00 90.00 90.00°
Sites, in units of the cell vectors:
Tl 0.5000 0.5000 0.5000
B 0.0000 0.0000 0.0000
Au 0.0000 0.5000 0.0000
Au 0.5000 0.0000 0.0000
Ge 0.0000 0.0000 0.5000

Calculated values
E_tot	-235.43	eV for the cell shown

No. 12
The following is a DFT calculation (meta-GGA SCAN) of Zr2BHAu at its PBEsol-relaxed geometry.

Cell: 2.9670 4.8155 4.8155 Å, 90.00 90.00 90.00°
Sites, in units of the cell vectors:
H 0.0000 0.0000 0.0000
B 0.5000 0.0000 0.0000
Au 0.5000 0.5000 0.5000
Zr 0.0000 0.0000 0.5000
Zr 0.0000 0.5000 0.0000

Calculated values
E_tot	-141.88	eV for the cell shown